VASP calculation (PBE-GGA) on a relaxed Si2HgI8 crystal.

Cell lengths 8.915, 8.915, 9.585 Å; angles 109.65, 109.65, 58.80 degrees
Atoms (fractional coordinates):
Si 0.201 0.201 0.189
Si 0.799 0.799 0.811
Hg 0.000 0.000 0.500
I 0.094 0.636 0.742
I 0.167 0.167 0.916
I 0.364 0.906 0.258
I 0.373 0.373 0.327
I 0.627 0.627 0.673
I 0.636 0.094 0.742
I 0.833 0.833 0.084
I 0.906 0.364 0.258

Properties
For the magnetic moment, the calculation gives 0.00 μB/atom. The value obtained for the energy relative to the elements, uncorrected is -304 meV/atom. The value obtained for the total energy is -26.9 eV/cell. Its space group is C2/m.